No. 1
ZrZnHg after structural relaxation. Source: Alexandria via LeMat-Bulk, functional GGA-PBEsol.

a = 4.5229 Å, b = 4.5229 Å, c = 3.1294 Å
α = 90.00°, β = 90.00°, γ = 120.00°
Closest atoms and distances in Å follow each position.
Atoms (fractional coordinates):
1 Zr 0.0000 0.0000 0.0000  6 Hg 3.04, 6 Zn 3.04, 2 Zr 3.13
2 Zn 0.6667 0.3333 0.5000  3 Hg 2.61
3 Hg 0.3333 0.6667 0.5000  3 Zn 2.61

## Properties
- Space-group type: P-6m2, No. 187
- ΔE_f: -0.26 eV/atom

No. 2
CaCu3O4 after structural relaxation. Source: Alexandria via LeMat-Bulk, functional GGA-PBEsol.

a = 5.5120 Å, b = 5.5120 Å, c = 5.5120 Å
α = 90.00°, β = 90.00°, γ = 90.00°
Closest atoms and distances in Å follow each position.
Atoms (fractional coordinates):
1 Ca 0.0000 0.0000 0.0000  8 O 2.39
2 Ca 0.5000 0.5000 0.5000  8 O 2.39
3 Cu 0.0000 0.2500 0.5000  4 O 1.95
4 Cu 0.0000 0.7500 0.5000  4 O 1.95
5 Cu 0.2500 0.5000 0.0000  4 O 1.95
6 Cu 0.5000 0.0000 0.2500  4 O 1.95
7 Cu 0.5000 0.0000 0.7500  4 O 1.95
8 Cu 0.7500 0.5000 0.0000  4 O 1.95
9 O 0.2500 0.2500 0.2500  3 Cu 1.95
10 O 0.2500 0.2500 0.7500  3 Cu 1.95
11 O 0.2500 0.7500 0.2500  3 Cu 1.95
12 O 0.2500 0.7500 0.7500  3 Cu 1.95
13 O 0.7500 0.2500 0.2500  3 Cu 1.95
14 O 0.7500 0.2500 0.7500  3 Cu 1.95
15 O 0.7500 0.7500 0.2500  3 Cu 1.95
16 O 0.7500 0.7500 0.7500  3 Cu 1.95

## Properties
- Space-group type: Pm-3n, No. 223
- Formation energy without anion corrections: -1.24 eV/atom

No. 3
BaZrSbI2 after structural relaxation. Source: Alexandria via LeMat-Bulk, functional GGA-PBEsol.

a = 6.2524 Å, b = 6.2524 Å, c = 6.4402 Å
α = 90.00°, β = 90.00°, γ = 90.00°
Closest atoms and distances in Å follow each position.
Atoms (fractional coordinates):
1 Ba 0.0000 0.0000 0.0000  4 I 3.13, 2 Sb 3.22
2 Zr 0.5000 0.5000 0.5000  4 Sb 4.42, 8 I 4.49
3 Sb 0.0000 0.0000 0.5000  2 Ba 3.22
4 I 0.0000 0.5000 0.0000  2 Ba 3.13
5 I 0.5000 0.0000 0.0000  2 Ba 3.13

## Properties
- Space-group type: P4/mmm, No. 123
- Formation energy without anion corrections: 0.58 eV/atom